HIr3Pd | PBE | optimized geometry

POSCAR file:
```
HIr3Pd
1.0
-3.505 1.112 1.444
0.828 -1.818 3.408
1.624 3.326 1.380
Ir H Pd
3 1 1
Direct
0.500 0.000 0.000 Ir
0.000 0.500 0.000 Ir
0.000 0.000 0.500 Ir
0.000 0.000 0.000 H
0.500 0.500 0.500 Pd
```

Summary:
**Offset from the most stable computed form**: 0.00 eV per formula unit
**Crystal system**: cubic
**Density**: 18.4 g/cm3